# PBE-GGA La2PmNdHo4, optimized geometry
data_La2PmNdHo4
_symmetry_space_group_name_H-M 'I m m a'
_symmetry_Int_Tables_number 74
_symmetry_space_group_name_Hall '-I 2b 2'
_cell_length_a 6.8364
_cell_length_b 11.9382
_cell_length_c 13.3257
_cell_angle_alpha 90.00
_cell_angle_beta 90.00
_cell_angle_gamma 90.00
loop_
_atom_site_label
_atom_site_fract_x
_atom_site_fract_y
_atom_site_fract_z
_atom_site_occupancy
La1 0.0000 0.0000 0.0000 1
La2 0.2500 0.2500 0.2500 1
Pm1 0.2500 0.2500 0.7500 1
Nd1 0.0000 0.0000 0.5000 1
Ho1 0.0000 0.0014 0.7501 1
Ho2 0.2487 0.2500 0.5008 1
# Crystal system ... orthorhombic
# Final energy ... -4.322 eV per atom
# Total moment ... 0.00 μB per formula unit
# Energy of formation from the pure elements ... 3.111 eV/f.u.

---

# PBE-GGA CsCrSb2, optimized geometry
data_CsCrSb2
_symmetry_space_group_name_H-M 'R -3 m'
_symmetry_Int_Tables_number 166
_symmetry_space_group_name_Hall '-R 3 2"'
_cell_length_a 4.3925
_cell_length_b 4.3925
_cell_length_c 23.8726
_cell_angle_alpha 90.00
_cell_angle_beta 90.00
_cell_angle_gamma 120.00
loop_
_atom_site_label
_atom_site_fract_x
_atom_site_fract_y
_atom_site_fract_z
_atom_site_occupancy
Cs1 0.0000 0.0000 0.0000 1
Cr1 0.0000 0.0000 0.5000 1
Sb1 0.0000 0.0000 0.2125 1
# Crystal system ... trigonal
# Formation energy from raw total energies ... -27 meV/atom
# Final energy ... -4.708 eV per atom
# Total moment ... 2.93 μB per formula unit
# Offset from the most stable computed form ... 0 meV per atom

---

# PBE-GGA Ag2OsRh, optimized geometry
data_Ag2OsRh
_symmetry_space_group_name_H-M 'P 4/m m m'
_symmetry_Int_Tables_number 123
_symmetry_space_group_name_Hall '-P 4 2'
_cell_length_a 2.6855
_cell_length_b 2.6855
_cell_length_c 8.8417
_cell_angle_alpha 90.00
_cell_angle_beta 90.00
_cell_angle_gamma 90.00
loop_
_atom_site_label
_atom_site_fract_x
_atom_site_fract_y
_atom_site_fract_z
_atom_site_occupancy
Ag1 0.0000 0.0000 0.2478 1
Os1 0.5000 0.5000 0.5000 1
Rh1 0.5000 0.5000 0.0000 1
# Crystal system ... tetragonal
# Final energy ... -5.414 eV per atom
# Total moment ... 1.03 μB per formula unit
# Energy of formation from the pure elements ... 2.627 eV/f.u.
# Offset from the most stable computed form ... 393 meV per atom

---

# PBE-GGA SmTmCuIr, optimized geometry
data_SmTmCuIr
_symmetry_space_group_name_H-M 'F -4 3 m'
_symmetry_Int_Tables_number 216
_symmetry_space_group_name_Hall 'F -4 2 3'
_cell_length_a 6.9223
_cell_length_b 6.9223
_cell_length_c 6.9223
_cell_angle_alpha 90.00
_cell_angle_beta 90.00
_cell_angle_gamma 90.00
loop_
_atom_site_label
_atom_site_fract_x
_atom_site_fract_y
_atom_site_fract_z
_atom_site_occupancy
Sm1 0.0000 0.0000 0.0000 1
Tm1 0.0000 0.0000 0.5000 1
Cu1 0.2500 0.2500 0.2500 1
Ir1 0.2500 0.2500 0.7500 1
# Crystal system ... cubic
# Final energy ... -6.091 eV per atom
# Total moment ... 0.00 μB per formula unit
# Energy of formation from the pure elements ... -2.215 eV/f.u.
# Offset from the most stable computed form ... 7 meV per atom

---

# PBE-GGA ScTlC3, optimized geometry
data_ScTlC3
_symmetry_space_group_name_H-M 'P m -3 m'
_symmetry_Int_Tables_number 221
_symmetry_space_group_name_Hall '-P 4 2 3'
_cell_length_a 4.3710
_cell_length_b 4.3710
_cell_length_c 4.3710
_cell_angle_alpha 90.00
_cell_angle_beta 90.00
_cell_angle_gamma 90.00
loop_
_atom_site_label
_atom_site_fract_x
_atom_site_fract_y
_atom_site_fract_z
_atom_site_occupancy
Sc1 0.0000 0.0000 0.0000 1
Tl1 0.5000 0.5000 0.5000 1
C1 0.0000 0.0000 0.5000 1
# Crystal system ... cubic
# Final energy ... -5.033 eV per atom
# Total moment ... 0.00 μB per formula unit
# Energy of formation from the pure elements ... 11.207 eV/f.u.
# Offset from the most stable computed form ... 0 meV per atom

---

# PBE-GGA Zn2InNi, optimized geometry
data_Zn2InNi
_symmetry_space_group_name_H-M 'P 4/m m m'
_symmetry_Int_Tables_number 123
_symmetry_space_group_name_Hall '-P 4 2'
_cell_length_a 3.8891
_cell_length_b 3.8891
_cell_length_c 4.0596
_cell_angle_alpha 90.00
_cell_angle_beta 90.00
_cell_angle_gamma 90.00
loop_
_atom_site_label
_atom_site_fract_x
_atom_site_fract_y
_atom_site_fract_z
_atom_site_occupancy
Zn1 0.0000 0.5000 0.0000 1
In1 0.0000 0.0000 0.5000 1
Ni1 0.5000 0.5000 0.5000 1
# Crystal system ... tetragonal
# Final energy ... -2.756 eV per atom
# Total moment ... 0.00 μB per formula unit
# Energy of formation from the pure elements ... 0.042 eV/f.u.

---

# PBE-GGA PrDySbAs, optimized geometry
data_PrDySbAs
_symmetry_space_group_name_H-M 'R 3 m'
_symmetry_Int_Tables_number 160
_symmetry_space_group_name_Hall 'R 3 -2"'
_cell_length_a 4.3295
_cell_length_b 4.3295
_cell_length_c 21.4041
_cell_angle_alpha 90.00
_cell_angle_beta 90.00
_cell_angle_gamma 120.00
loop_
_atom_site_label
_atom_site_fract_x
_atom_site_fract_y
_atom_site_fract_z
_atom_site_occupancy
Pr1 0.0000 0.0000 0.0000 1
Dy1 0.0000 0.0000 0.5110 1
Sb1 0.0000 0.0000 0.7593 1
As1 0.0000 0.0000 0.2519 1
# Crystal system ... trigonal
# Formation energy from raw total energies ... -1318 meV/atom
# Final energy ... -5.856 eV per atom
# Total moment ... 0.00 μB per formula unit

---

# PBE-GGA TmTh2Ni6, optimized geometry
data_TmTh2Ni6
_symmetry_space_group_name_H-M 'P 6/m m m'
_symmetry_Int_Tables_number 191
_symmetry_space_group_name_Hall '-P 6 2'
_cell_length_a 7.0783
_cell_length_b 7.0783
_cell_length_c 3.6950
_cell_angle_alpha 90.00
_cell_angle_beta 90.00
_cell_angle_gamma 120.00
loop_
_atom_site_label
_atom_site_fract_x
_atom_site_fract_y
_atom_site_fract_z
_atom_site_occupancy
Tm1 0.0000 0.0000 0.0000 1
Th1 0.3333 0.6667 0.0000 1
Ni1 0.0000 0.3317 0.5000 1
# Crystal system ... hexagonal
# Final energy ... -6.418 eV per atom
# Total moment ... 0.00 μB per formula unit
# Energy of formation from the pure elements ... -3.761 eV/f.u.
# Offset from the most stable computed form ... 0 meV per atom